# 1
Density functional theory data (PBE-GGA) for crystalline TbMgTlSn at its relaxed geometry.

Structure (extended XYZ):
```
4
Lattice="-3.812 2.188 -0.319 -2.415 -4.255 -0.325 -0.448 -0.101 4.658" Properties=species:S:1:pos:R:3 pbc="T T T"
Tb -2.130 1.043 2.170
Mg -3.114 -1.033 -0.322
Tl -1.431 -2.178 2.167
Sn 0.000 0.000 0.000
```

total energy: -14.202 eV for the cell shown

# 2
Density functional theory data (PBE-GGA) for crystalline DyEr2Rh at its relaxed geometry.

Structure (extended XYZ):
```
4
Lattice="3.472 0.000 0.000 0.000 3.472 0.000 0.000 0.000 8.515" Properties=species:S:1:pos:R:3 pbc="T T T"
Dy 1.736 1.736 4.257
Rh 1.736 1.736 0.000
Er 0.000 0.000 6.903
Er 0.000 0.000 1.611
```

total energy: -22.808 eV for the cell shown

# 3
Density functional theory data (PBE-GGA) for crystalline Li7TbCd4 at its relaxed geometry.

Structure (extended XYZ):
```
12
Lattice="5.086 0.000 0.000 2.543 7.017 1.039 2.543 1.122 7.032" Properties=species:S:1:pos:R:3 pbc="T T T"
Li 7.629 6.821 4.735
Li 2.543 1.318 3.336
Li 2.543 4.250 2.689
Li 7.629 3.889 5.381
Li 5.086 5.658 5.967
Li 2.543 0.000 0.000
Li 5.086 2.481 2.104
Tb 0.000 0.000 0.000
Cd 5.086 2.578 4.789
Cd 5.086 5.561 3.282
Cd 7.629 5.677 7.458
Cd 2.543 2.462 0.612
```

total energy: -22.009 eV for the cell shown